Entry 1:
Ca2FeRe: relaxed, GGA-PBE.

It has space group C2/m (No. 12), with a = 9.9465 Å, b = 2.7847 Å, c = 5.7156 Å, α = 90.00°, β = 95.08° and γ = 90.00°. The inequivalent atoms are Ca at (0.2491, 0.0000, 0.2484), Fe at (0.0000, 0.0000, 0.5000) and Re at (0.0000, 0.5000, 0.0000).

The density of states at the Fermi level comes out at 0.743 states/eV per atom. The calculation puts the total energy at -42.34 eV/cell. As for the volume: 19.712 Å³ per atom.



Entry 2:
ReMo2Ru: relaxed, GGA-PBE.

It has space group C2/m (No. 12), with a = 5.4417 Å, b = 8.7720 Å, c = 2.7108 Å, α = 90.00°, β = 109.54° and γ = 90.00°. The inequivalent atoms are Re at (0.0000, 0.0000, 0.0000), Mo at (0.2500, 0.2500, 0.5000) and Ru at (0.0000, 0.5000, 0.0000).

The density of states at the Fermi level comes out at 1.278 states/eV per atom. The calculation puts the total energy at -85.37 eV/cell. As for the volume: 15.243 Å³ per atom.



Entry 3:
ZnCd2Pd: relaxed, GGA-PBE.

It has space group P4/mmm (No. 123), with a = 3.2912 Å, b = 3.2912 Å, c = 6.6747 Å, α = 90.00°, β = 90.00° and γ = 90.00°. The inequivalent atoms are Zn at (0.0000, 0.0000, 0.0000), Cd at (0.5000, 0.5000, 0.2579) and Pd at (0.0000, 0.0000, 0.5000).

The density of states at the Fermi level comes out at 0.243 states/eV per atom. The calculation puts the total energy at -9.00 eV/cell. As for the volume: 18.075 Å³ per atom.



Question: Which value of density of states at the Fermi level does entry 3 give?
Answer: 0.243 states/eV per atom



Question: Which of these has the highest density of states at the Fermi level?
Answer: ReMo2Ru